Density functional theory data (GGA-PBEsol) for MnCo2Si after structural relaxation.

- Density of states at the Fermi level: 4.483 states/eV per cell
- ΔE_f (raw): -5.95 kcal/mol of atoms
- Crystal system: monoclinic

Cell and atoms, written as POSCAR:
```
MnCo2Si
1.0
3.990 -1.262 0.000
3.990 1.262 0.000
-0.855 0.000 4.123
Mn Co Si
1 2 1
Cartesian
0.000 0.000 0.000
1.320 0.000 3.107
5.804 0.000 1.016
3.562 0.000 2.061
```